Material: FeTeOsN2
Method: DFT, GGA-PBE
State: relaxed

Formation energy from raw total energies ... 839.5 meV per atom
ρ ... 7.89 Mg/m³
Distance to the lowest polymorph of the same formula ... 0 meV/atom

Cell: 3.793 3.793 5.877 Å, 90.00 90.00 90.00°
Each line ends with the local moment (μB).
Fractional coordinates of all 5 atoms:
N1 0.000 0.500 0.000  0.10
Te1 0.000 0.000 0.500  0.00
N2 0.500 0.000 0.000  0.10
Fe1 0.500 0.500 0.500  2.87
Os1 0.000 0.000 0.000  -0.08